Record 1
Here is a geometry-optimized Na4Ac3GaS8 structure from Alexandria. Energies are from PBE.

Symmetry: C2/m (12)
Formation energy without anion corrections, meV per atom: -1484
Total DFT energy (no corrections), eV per atom: -4.837
Volume, Å³ per cell: 420

The structure in POSCAR format:
```
Na4Ac3GaS8
1.0
8.385 0.000 0.000
0.000 8.296 -0.096
-4.192 -4.209 6.087
Na S Ga Ac
4 8 1 3
direct
0.500 0.000 0.500
0.000 0.000 0.000
0.500 0.000 0.000
0.000 0.000 0.500
0.790 0.710 0.995
0.744 0.744 0.488
0.272 0.770 0.545
0.210 0.290 0.005
0.256 0.256 0.512
0.795 0.290 0.005
0.205 0.710 0.995
0.728 0.230 0.455
0.000 0.500 0.000
0.500 0.500 0.000
0.000 0.500 0.500
0.500 0.500 0.500
```

Record 2
Here is a geometry-optimized MgAlW structure from Alexandria. Energies are from PBE.

Symmetry: I4mm (107)
Total DFT energy (no corrections), eV per atom: -5.896
Formation energy from the elements, eV per atom: 0.200
Volume, Å³ per cell: 51

The structure in POSCAR format:
```
MgAlW
1.0
6.994 0.004 0.000
5.901 3.754 0.000
-6.448 -1.879 1.953
Al Mg W
1 1 1
direct
0.009 0.009 0.000
0.330 0.330 0.000
0.660 0.660 0.000
```

Record 3
Here is a geometry-optimized NpBeAu2 structure from Alexandria. Energies are from PBE.

Symmetry: P4/mmm (123)
Total DFT energy (no corrections), eV per atom: -5.911
Formation energy from the elements, eV per atom: -0.105
Volume, Å³ per cell: 69

The structure in POSCAR format:
```
NpBeAu2
1.0
-2.135 0.928 1.856
-2.074 -1.029 -1.872
0.151 -6.846 3.596
Be Au Np
1 2 1
direct
0.500 0.500 0.000
0.000 0.000 0.812
0.000 0.000 0.188
0.500 0.500 0.500
```